Density functional theory data (GGA+U) for crystalline CaMg6MnO8 at its relaxed geometry.

Values from the calculation:
- Total DFT energy (no corrections): -6.190 eV per atom
- E above lowest polymorph: 17 meV per atom
- SG: P4/mmm, No. 123

```
CaMg6MnO8
1.0
4.4007 0.0000 0.0000
0.0000 4.4007 0.0000
0.0000 0.0000 8.7442
Ca Mg Mn O
1 6 1 8
direct
0.0000 0.0000 0.0000 Ca
0.0000 0.5000 0.2547 Mg
0.0000 0.5000 0.7453 Mg
0.5000 0.0000 0.2547 Mg
0.5000 0.0000 0.7453 Mg
0.5000 0.5000 0.0000 Mg
0.5000 0.5000 0.5000 Mg
0.0000 0.0000 0.5000 Mn
0.0000 0.0000 0.2575 O
0.0000 0.0000 0.7425 O
0.0000 0.5000 0.0000 O
0.0000 0.5000 0.5000 O
0.5000 0.0000 0.0000 O
0.5000 0.0000 0.5000 O
0.5000 0.5000 0.2513 O
0.5000 0.5000 0.7487 O
```